# 1
## Rh2C (PBE)

Data for a relaxed Rh2C crystal.

The energy above the most stable polymorph in this dataset comes out at 16 meV/atom. The formation enthalpy at 0 K is 0.208 eV/atom. The calculation puts the total energy at -0.571 Ry/atom. Its magnetization is 0.0 μB/f.u.

Lattice parameters (Å, degrees): 5.0699 5.0699 4.8079 90.00 90.00 120.00
Sites, in units of the cell vectors:
C (0.6667, 0.3333, 0.5000)
C (0.3333, 0.6667, 0.5000)
C (0.0000, 0.0000, 0.0000)
Rh (0.3383, 0.0000, 0.2486)
Rh (0.6617, 0.6617, 0.2486)
Rh (0.0000, 0.3383, 0.2486)
Rh (0.6617, 0.0000, 0.7514)
Rh (0.3383, 0.3383, 0.7514)
Rh (0.0000, 0.6617, 0.7514)

***

# 2
## Cu2Pt (PBE)

Data for a relaxed Cu2Pt crystal.

The energy above the most stable polymorph in this dataset comes out at 27 meV/atom. The formation enthalpy at 0 K is -0.118 eV/atom. The calculation puts the total energy at -0.357 Ry/atom. Its magnetization is 0.0 μB/f.u.

Lattice parameters (Å, degrees): 4.5935 4.5935 4.3981 90.00 90.00 120.25
Sites, in units of the cell vectors:
Cu (0.5019, 0.8367, 0.2500)
Cu (0.8367, 0.5019, 0.2500)
Cu (0.4981, 0.1633, 0.7500)
Cu (0.1633, 0.4981, 0.7500)
Pt (0.8237, 0.8237, 0.7500)
Pt (0.1763, 0.1763, 0.2500)

***

# 3
## PaCr4P2 (PBE)

Data for a relaxed PaCr4P2 crystal.

The formation enthalpy at 0 K is -0.534 eV/atom. The calculation puts the total energy at -0.657 Ry/atom. Its magnetization is 0.0 μB/f.u.

Lattice parameters (Å, degrees): 3.9580 4.0022 6.5042 107.92 90.00 90.00
Sites, in units of the cell vectors:
Cr (0.5000, 0.8052, 0.6103)
Cr (0.5000, 0.1948, 0.3897)
Cr (0.0000, 0.6971, 0.3942)
Cr (0.0000, 0.3029, 0.6058)
P (0.5000, 0.5974, 0.1948)
P (0.5000, 0.4026, 0.8052)
Pa (0.0000, 0.0000, 0.0000)

***

Copy entry 3 word for word.
## PaCr4P2 (PBE)

Data for a relaxed PaCr4P2 crystal.

The formation enthalpy at 0 K is -0.534 eV/atom. The calculation puts the total energy at -0.657 Ry/atom. Its magnetization is 0.0 μB/f.u.

Lattice parameters (Å, degrees): 3.9580 4.0022 6.5042 107.92 90.00 90.00
Sites, in units of the cell vectors:
Cr (0.5000, 0.8052, 0.6103)
Cr (0.5000, 0.1948, 0.3897)
Cr (0.0000, 0.6971, 0.3942)
Cr (0.0000, 0.3029, 0.6058)
P (0.5000, 0.5974, 0.1948)
P (0.5000, 0.4026, 0.8052)
Pa (0.0000, 0.0000, 0.0000)